The following is a PBE-GGA calculation of a geometry-optimized TcNi2W structure, from the Alexandria database.

Values from the calculation:
density of states at the Fermi level	0.702	states/eV/atom
M_tot	0.000	μB per formula unit
raw total energy	-8.75	eV per atom
calculated volume	13.0	A^3/atom
symmetry	Pm

POSCAR file:
```
TcNi2W
1.0
-4.052 0.875 -0.611
-0.560 -2.544 0.072
-0.776 -0.280 4.742
Ni Tc W
2 1 1
direct
0.500 0.104 0.261 Ni
0.000 0.143 0.994 Ni
0.000 0.531 0.464 Tc
0.500 0.722 0.781 W
```

***

The following is a PBE-GGA calculation of a geometry-optimized ZnInSiB2 structure, from the Alexandria database.

Values from the calculation:
density of states at the Fermi level	0.405	states/eV/atom
M_tot	0.000	μB per formula unit
raw total energy	-3.47	eV per atom
formation energy from raw total energies	1.08	eV per atom
calculated volume	16.6	A^3/atom
symmetry	P4/mmm

POSCAR file:
```
ZnInSiB2
1.0
4.022 0.000 0.000
0.000 5.116 0.000
0.000 0.000 4.022
B Zn Si In
2 1 1 1
direct
0.000 0.000 0.500 B
0.500 0.000 0.000 B
0.000 0.500 0.000 Zn
0.000 0.000 0.000 Si
0.500 0.500 0.500 In
```

***

The following is a PBE-GGA calculation of a geometry-optimized NaNd2Sm3Se6 structure, from the Alexandria database.

Values from the calculation:
density of states at the Fermi level	0.324	states/eV/atom
M_tot	0.000	μB per formula unit
raw total energy	-5.62	eV per atom
formation energy from raw total energies	-1.79	eV per atom
calculated volume	26.3	A^3/atom
symmetry	C2/m

POSCAR file:
```
NaNd2Sm3Se6
1.0
4.188 0.000 0.000
0.000 8.427 0.298
-2.094 -2.432 8.844
Sm Se Nd Na
3 6 2 1
direct
0.835 0.172 0.669 Sm
0.165 0.828 0.331 Sm
0.500 0.500 0.000 Sm
0.667 0.079 0.334 Se
0.664 0.587 0.328 Se
0.000 0.749 0.000 Se
0.336 0.413 0.672 Se
0.333 0.921 0.666 Se
0.000 0.251 0.000 Se
0.169 0.341 0.338 Nd
0.831 0.659 0.662 Nd
0.500 0.000 0.000 Na
```

***

The following is a PBE-GGA calculation of a geometry-optimized Al2WAu structure, from the Alexandria database.

Values from the calculation:
density of states at the Fermi level	0.627	states/eV/atom
M_tot	0.000	μB per formula unit
raw total energy	-6.03	eV per atom
calculated volume	15.5	A^3/atom
symmetry	P4/mmm

POSCAR file:
```
Al2WAu
1.0
-2.882 -0.467 -3.153
0.989 -4.172 -0.286
-2.373 -0.718 2.275
Al Au W
2 1 1
direct
0.500 0.500 0.000 Al
0.000 0.000 0.000 Al
0.500 0.000 0.500 Au
0.000 0.500 0.500 W
```

***

The following is a PBE-GGA calculation of a geometry-optimized PmTm8Pb2 structure, from the Alexandria database.

Values from the calculation:
density of states at the Fermi level	1.298	states/eV/atom
M_tot	0.000	μB per formula unit
raw total energy	-4.40	eV per atom
calculated volume	30.6	A^3/atom
symmetry	C2/m

POSCAR file:
```
PmTm8Pb2
1.0
5.661 -0.348 -0.522
-1.425 8.536 -0.754
-1.425 -3.983 7.588
Tm Pb Pm
8 2 1
direct
0.500 0.782 0.218 Tm
0.876 0.902 0.678 Tm
0.124 0.098 0.322 Tm
0.876 0.678 0.902 Tm
0.297 0.591 0.591 Tm
0.703 0.409 0.409 Tm
0.124 0.322 0.098 Tm
0.500 0.218 0.782 Tm
0.000 0.305 0.695 Pb
0.000 0.695 0.305 Pb
0.500 0.000 0.000 Pm
```

***

The following is a PBE-GGA calculation of a geometry-optimized SrLa4Hg structure, from the Alexandria database.

Values from the calculation:
density of states at the Fermi level	1.503	states/eV/atom
M_tot	0.003	μB per formula unit
raw total energy	-3.41	eV per atom
calculated volume	36.5	A^3/atom
symmetry	F-43m

POSCAR file:
```
SrLa4Hg
1.0
0.000 4.785 4.785
4.785 0.000 4.785
4.785 4.785 0.000
La Sr Hg
4 1 1
direct
0.371 0.371 0.886 La
0.371 0.371 0.371 La
0.886 0.371 0.371 La
0.371 0.886 0.371 La
0.750 0.750 0.750 Sr
0.000 0.000 0.000 Hg
```